[1]
# LaYSe3 GGA-PBE relaxed
data_LaYSe3
_symmetry_space_group_name_H-M 'P 1'
_symmetry_Int_Tables_number 1
_cell_length_a 4.220
_cell_length_b 7.817
_cell_length_c 16.162
_cell_angle_alpha 90.00
_cell_angle_beta 90.00
_cell_angle_gamma 90.00
loop_
_symmetry_equiv_pos_as_xyz
'x,y,z'
loop_
_atom_site_label
_atom_site_fract_x
_atom_site_fract_y
_atom_site_fract_z
La1 0.750 0.860 0.800
La2 0.250 0.140 0.200
La3 0.750 0.360 0.700
La4 0.250 0.640 0.300
Y1 0.250 0.272 0.957
Y2 0.250 0.772 0.543
Y3 0.750 0.228 0.457
Y4 0.750 0.728 0.043
Se1 0.250 0.376 0.561
Se2 0.750 0.848 0.216
Se3 0.750 0.490 0.895
Se4 0.750 0.990 0.605
Se5 0.750 0.624 0.439
Se6 0.250 0.010 0.395
Se7 0.250 0.876 0.939
Se8 0.750 0.348 0.284
Se9 0.250 0.652 0.716
Se10 0.250 0.152 0.784
Se11 0.750 0.124 0.061
Se12 0.250 0.510 0.105
# Energy relative to the lowest polymorph listed for this composition = 0.0 meV per atom
# Formation energy without anion corrections = -1972.4 meV/atom
# Space-group type = Pnma
# E = -6.34 eV/atom


[2]
# YCuSi2 GGA-PBE relaxed
data_YCuSi2
_symmetry_space_group_name_H-M 'P 1'
_symmetry_Int_Tables_number 1
_cell_length_a 3.897
_cell_length_b 4.676
_cell_length_c 4.676
_cell_angle_alpha 64.54
_cell_angle_beta 90.00
_cell_angle_gamma 90.00
loop_
_symmetry_equiv_pos_as_xyz
'x,y,z'
loop_
_atom_site_label
_atom_site_fract_x
_atom_site_fract_y
_atom_site_fract_z
Y1 0.000 0.054 0.946
Cu1 0.500 0.554 0.446
Si1 0.500 0.054 0.446
Si2 0.500 0.554 0.946
# Formation energy without anion corrections = -285.4 meV/atom
# Space-group type = Cmmm
# E = -5.64 eV/atom